Entry from the Alexandria database: a relaxed CsYP4O12 crystal (PBE).

Computed properties:
- ΔE_f (raw): -2.451 eV per atom
- Size of the total moment: 0.00 μB per formula unit
- E_tot: -7.366 eV/atom

Structure (CIF):
```
data_CsYP4O12
_symmetry_space_group_name_H-M 'P 1 21/c 1'
_symmetry_Int_Tables_number 14
_symmetry_space_group_name_Hall '-P 2ybc'
_cell_length_a 10.4646
_cell_length_b 8.9880
_cell_length_c 12.9877
_cell_angle_alpha 90.00
_cell_angle_beta 123.49
_cell_angle_gamma 90.00
loop_
_atom_site_label
_atom_site_fract_x
_atom_site_fract_y
_atom_site_fract_z
_atom_site_occupancy
Cs1 0.2211 0.0643 0.0385 1
Y1 0.3149 0.7252 0.8176 1
P1 0.0334 0.0300 0.2870 1
P2 0.2017 0.6093 0.0266 1
P3 0.3297 0.1737 0.3689 1
P4 0.3910 0.0890 0.7437 1
O1 0.0455 0.5426 0.9071 1
O2 0.0794 0.5810 0.7262 1
O3 0.1220 0.5987 0.2913 1
O4 0.1617 0.1615 0.3483 1
O5 0.1654 0.7121 0.0983 1
O6 0.2722 0.0464 0.6006 1
O7 0.2849 0.2070 0.7595 1
O8 0.2974 0.6687 0.9827 1
O9 0.3710 0.0301 0.3357 1
O10 0.4216 0.5442 0.3238 1
O11 0.4335 0.2432 0.4930 1
O12 0.4764 0.6717 0.7429 1
```



Entry from the Alexandria database: a relaxed CsYPO2 crystal (PBE).

Computed properties:
- ΔE_f (raw): 0.117 eV per atom
- Size of the total moment: 0.00 μB per formula unit
- E_tot: -4.412 eV/atom

Structure (CIF):
```
data_CsYPO2
_symmetry_space_group_name_H-M 'P 4/m m m'
_symmetry_Int_Tables_number 123
_symmetry_space_group_name_Hall '-P 4 2'
_cell_length_a 4.4159
_cell_length_b 4.4159
_cell_length_c 5.6108
_cell_angle_alpha 90.00
_cell_angle_beta 90.00
_cell_angle_gamma 90.00
loop_
_atom_site_label
_atom_site_fract_x
_atom_site_fract_y
_atom_site_fract_z
_atom_site_occupancy
Cs1 0.0000 0.0000 0.0000 1
Y1 0.5000 0.5000 0.5000 1
P1 0.0000 0.0000 0.5000 1
O1 0.0000 0.5000 0.0000 1
```



Please write out number 1 again, unchanged.
Entry from the Alexandria database: a relaxed CsYP4O12 crystal (PBE).

Computed properties:
- ΔE_f (raw): -2.451 eV per atom
- Size of the total moment: 0.00 μB per formula unit
- E_tot: -7.366 eV/atom

Structure (CIF):
```
data_CsYP4O12
_symmetry_space_group_name_H-M 'P 1 21/c 1'
_symmetry_Int_Tables_number 14
_symmetry_space_group_name_Hall '-P 2ybc'
_cell_length_a 10.4646
_cell_length_b 8.9880
_cell_length_c 12.9877
_cell_angle_alpha 90.00
_cell_angle_beta 123.49
_cell_angle_gamma 90.00
loop_
_atom_site_label
_atom_site_fract_x
_atom_site_fract_y
_atom_site_fract_z
_atom_site_occupancy
Cs1 0.2211 0.0643 0.0385 1
Y1 0.3149 0.7252 0.8176 1
P1 0.0334 0.0300 0.2870 1
P2 0.2017 0.6093 0.0266 1
P3 0.3297 0.1737 0.3689 1
P4 0.3910 0.0890 0.7437 1
O1 0.0455 0.5426 0.9071 1
O2 0.0794 0.5810 0.7262 1
O3 0.1220 0.5987 0.2913 1
O4 0.1617 0.1615 0.3483 1
O5 0.1654 0.7121 0.0983 1
O6 0.2722 0.0464 0.6006 1
O7 0.2849 0.2070 0.7595 1
O8 0.2974 0.6687 0.9827 1
O9 0.3710 0.0301 0.3357 1
O10 0.4216 0.5442 0.3238 1
O11 0.4335 0.2432 0.4930 1
O12 0.4764 0.6717 0.7429 1
```



Look up the size of the total moment of the second one.
0.00 μB per formula unit



Look up the ΔE_f (raw) of the first one.
-2.451 eV per atom